Entry 1:
# ScAgSn, relaxed, DFT PBE-GGA
# - E_form (eV per atom) = -0.46
data_ScAgSn
_cell_length_a 8.775
_cell_length_b 12.331
_cell_length_c 7.167
_cell_angle_alpha 90.00
_cell_angle_beta 90.00
_cell_angle_gamma 90.00
_symmetry_space_group_name_H-M 'I m a 2'
_symmetry_Int_Tables_number 46
loop_
_symmetry_equiv_pos_as_xyz
'x,y,z'
'-x,-y,z'
'-x+1/2,y,z'
'x+1/2,-y,z'
'x+1/2,y+1/2,z+1/2'
'-x+1/2,-y+1/2,z+1/2'
'-x,y+1/2,z+1/2'
'x,-y+1/2,z+1/2'
loop_
_atom_site_label
_atom_site_type_symbol
_atom_site_fract_x
_atom_site_fract_y
_atom_site_fract_z
_atom_site_occupancy
Sc1 Sc 0.250 0.002 0.000 1
Sc2 Sc 0.250 0.237 0.318 1
Sc3 Sc 0.250 0.703 0.856 1
Ag1 Ag 0.000 0.000 0.318 1
Ag2 Ag 0.040 0.620 0.186 1
Sn1 Sn 0.005 0.668 0.560 1
Sn2 Sn 0.250 0.037 0.563 1

Entry 2:
# ScAg2Sn2, relaxed, DFT PBE-GGA
# - excess energy over the best structure of this formula in the dataset (eV/f.u.) = 0.041
# - E_form (eV per atom) = -0.10
data_ScAg2Sn2
_cell_length_a 8.050
_cell_length_b 8.050
_cell_length_c 3.423
_cell_angle_alpha 90.00
_cell_angle_beta 90.00
_cell_angle_gamma 90.00
_symmetry_space_group_name_H-M 'P 4/m b m'
_symmetry_Int_Tables_number 127
_symmetry_space_group_name_Hall '-P 4 2ab'
loop_
_atom_site_label
_atom_site_type_symbol
_atom_site_fract_x
_atom_site_fract_y
_atom_site_fract_z
_atom_site_occupancy
Sc1 Sc 0.000 0.000 0.000 1
Ag1 Ag 0.122 0.378 0.000 1
Sn1 Sn 0.180 0.680 0.500 1

Entry 3:
# ScAgSn, relaxed, DFT PBE-GGA
# - E_form (eV per atom) = -0.36
data_ScAgSn
_cell_length_a 8.260
_cell_length_b 4.834
_cell_length_c 6.395
_cell_angle_alpha 90.00
_cell_angle_beta 90.98
_cell_angle_gamma 90.00
_symmetry_space_group_name_H-M 'C 1 m 1'
_symmetry_Int_Tables_number 8
loop_
_symmetry_equiv_pos_as_xyz
'x,y,z'
'x,-y,z'
'x+1/2,y+1/2,z'
'x+1/2,-y+1/2,z'
loop_
_atom_site_label
_atom_site_type_symbol
_atom_site_fract_x
_atom_site_fract_y
_atom_site_fract_z
_atom_site_occupancy
Sc1 Sc 0.000 0.000 0.000 1
Sc2 Sc 0.167 0.500 0.650 1
Ag1 Ag 0.166 0.500 0.158 1
Ag2 Ag 0.332 0.000 0.318 1
Sn1 Sn 0.334 0.000 0.858 1
Sn2 Sn 0.499 0.500 0.473 1